(1)
VASP calculation (GGA-PBE) on crystalline HfZr2B at its relaxed geometry.

## Properties
Formation energy from the elements (eV/atom): 0.179
VASP energy (eV/atom): -8.25
M_tot (μB/f.u.): 0.00

Cell: 7.674 7.674 6.001 Å, 50.25 50.25 90.00°
Element x y z (fractional)
Hf: 0.000 0.000 0.000
Hf: 0.750 0.250 0.500
Zr: 0.875 0.805 0.750
Zr: 0.375 0.445 0.750
Zr: 0.555 0.125 0.250
Zr: 0.195 0.625 0.250
B: 0.250 0.750 0.500
B: 0.500 0.500 0.000

(2)
VASP calculation (GGA-PBE) on crystalline Nd2Ho6Zr at its relaxed geometry.

## Properties
Formation energy from the elements (eV/atom): 0.221
VASP energy (eV/atom): -4.84
M_tot (μB/f.u.): 0.07

Cell: 3.384 9.719 10.104 Å, 118.75 99.23 90.00°
Element x y z (fractional)
Ho: 0.838 0.658 0.674
Ho: 0.162 0.984 0.326
Ho: 0.838 0.016 0.674
Ho: 0.500 0.295 0.000
Ho: 0.500 0.705 0.000
Ho: 0.162 0.342 0.326
Nd: 0.336 0.335 0.670
Nd: 0.664 0.665 0.330
Zr: 0.000 0.000 0.000

(3)
VASP calculation (GGA-PBE) on crystalline RbGe2BMo at its relaxed geometry.

## Properties
Formation energy from the elements (eV/atom): 1.008
VASP energy (eV/atom): -4.53
M_tot (μB/f.u.): 2.48

Cell: 4.807 4.486 4.807 Å, 90.00 90.00 90.00°
Last column: magnetic moment on the atom in μB.
Element x y z (fractional)
Mo: 0.000 0.500 0.000  2.23
Ge: 0.000 0.000 0.500  -0.07
Ge: 0.500 0.000 0.000  -0.06
B: 0.000 0.000 0.000  -0.01
Rb: 0.500 0.500 0.500  0.02

(4)
VASP calculation (GGA-PBE) on crystalline PuU2Mo at its relaxed geometry.

## Properties
Formation energy from the elements (eV/atom): 0.148
VASP energy (eV/atom): -11.79
M_tot (μB/f.u.): 0.05

Cell: 4.369 4.369 5.122 Å, 64.76 64.76 60.00°
Last column: magnetic moment on the atom in μB.
Element x y z (fractional)
U: 0.734 0.734 0.797  -0.01
U: 0.266 0.266 0.203  -0.01
Pu: 0.000 0.000 0.000  0.08
Mo: 0.500 0.500 0.500  0.00

(5)
VASP calculation (GGA-PBE) on crystalline Sc6TlSi2 at its relaxed geometry.

## Properties
VASP energy (eV/atom): -6.21
Formation energy without anion corrections (eV per atom): -0.52
M_tot (μB/f.u.): 0.00

Cell: 7.957 7.957 7.957 Å, 103.84 112.19 112.53°
Element x y z (fractional)
Sc: 0.793 0.755 0.548
Sc: 0.905 0.718 0.188
Sc: 0.207 0.755 0.962
Sc: 0.702 0.381 0.679
Sc: 0.793 0.245 0.038
Sc: 0.702 0.023 0.321
Sc: 0.207 0.245 0.452
Sc: 0.298 0.977 0.679
Sc: 0.095 0.282 0.812
Sc: 0.470 0.282 0.188
Sc: 0.298 0.619 0.321
Sc: 0.530 0.718 0.812
Si: 0.500 0.621 0.121
Si: 0.500 0.379 0.879
Si: 0.643 0.000 0.643
Si: 0.357 0.000 0.357
Tl: 0.000 0.000 0.000
Tl: 0.000 0.500 0.500

(6)
VASP calculation (GGA-PBE) on crystalline Sc2CrP at its relaxed geometry.

## Properties
Formation energy from the elements (eV/atom): 0.189
VASP energy (eV/atom): -6.73
M_tot (μB/f.u.): 0.00

Cell: 8.371 8.371 8.371 Å, 23.13 23.13 23.13°
Element x y z (fractional)
Sc: 0.100 0.100 0.100
Sc: 0.900 0.900 0.900
Cr: 0.000 0.000 0.000
P: 0.500 0.500 0.500

(7)
VASP calculation (GGA-PBE) on crystalline KOs2Au at its relaxed geometry.

## Properties
Formation energy from the elements (eV/atom): 1.291
VASP energy (eV/atom): -5.42
M_tot (μB/f.u.): 0.00

Cell: 4.623 4.623 10.212 Å, 76.92 76.92 90.00°
Element x y z (fractional)
K: 0.500 0.500 0.000
K: 0.250 0.750 0.500
Os: 0.927 0.125 0.250
Os: 0.823 0.625 0.250
Os: 0.875 0.177 0.750
Os: 0.375 0.073 0.750
Au: 0.750 0.250 0.500
Au: 0.000 0.000 0.000

(8)
VASP calculation (GGA-PBE) on crystalline CrCu2ReH at its relaxed geometry.

## Properties
VASP energy (eV/atom): -5.32
M_tot (μB/f.u.): 0.33

Cell: 4.687 3.145 4.687 Å, 90.00 90.00 90.00°
Last column: magnetic moment on the atom in μB.
Element x y z (fractional)
H: 0.000 0.500 0.000  0.00
Cu: 0.000 0.000 0.500  0.05
Cu: 0.500 0.000 0.000  0.01
Re: 0.000 0.000 0.000  0.30
Cr: 0.500 0.500 0.500  -0.06

(9)
VASP calculation (GGA-PBE) on crystalline La2ZrCl at its relaxed geometry.

## Properties
VASP energy (eV/atom): -5.64
Formation energy without anion corrections (eV per atom): -0.58
M_tot (μB/f.u.): 0.00

Cell: 3.600 3.600 10.436 Å, 80.02 80.02 60.02°
Element x y z (fractional)
Cl: 0.250 0.250 0.250
La: 0.995 0.995 0.014
La: 0.505 0.505 0.486
Zr: 0.750 0.750 0.750

(10)
VASP calculation (GGA-PBE) on crystalline ReSb2Br at its relaxed geometry.

## Properties
VASP energy (eV/atom): -5.38
Formation energy without anion corrections (eV per atom): 0.21
M_tot (μB/f.u.): 0.00

Cell: 3.339 3.342 8.759 Å, 67.51 90.00 90.00°
Element x y z (fractional)
Sb: 0.000 0.450 0.551
Sb: 0.000 0.050 0.949
Br: 0.500 0.250 0.250
Re: 0.500 0.750 0.750

Copy entry 10 word for word.
VASP calculation (GGA-PBE) on crystalline ReSb2Br at its relaxed geometry.

## Properties
VASP energy (eV/atom): -5.38
Formation energy without anion corrections (eV per atom): 0.21
M_tot (μB/f.u.): 0.00

Cell: 3.339 3.342 8.759 Å, 67.51 90.00 90.00°
Element x y z (fractional)
Sb: 0.000 0.450 0.551
Sb: 0.000 0.050 0.949
Br: 0.500 0.250 0.250
Re: 0.500 0.750 0.750

Q: Which of these has the highest M_tot?
A: RbGe2BMo